5
Lattice="3.763 0.000 0.000 0.000 3.763 0.000 0.000 0.000 5.163" Properties=species:S:1:pos:R:3 comment="Ni2AuCF, optimized geometry, DFT PBE with a Hubbard U" dos_ef_per_ev_cell=2.17 final_energy_ev_per_atom=-2.644 pbc="T T T"
Ni 0.000 1.881 0.000
Ni 1.881 0.000 0.000
Au 0.000 0.000 2.582
C 1.881 1.881 2.582
F 0.000 0.000 0.000